## one
# PBE Li2SeCl, optimized geometry
# Calculated density (g cm⁻³): 3.0
# SG: Cmmm
data_Li2SeCl
_chemical_formula_sum 'Li2 Se1 Cl1'
_space_group_name_H-M_alt 'P 1'
_space_group_IT_number 1
_cell_length_a 3.265
_cell_length_b 3.265
_cell_length_c 7.194
_cell_angle_alpha 90.00
_cell_angle_beta 90.00
_cell_angle_gamma 109.69
loop_
_space_group_symop_operation_xyz
'x,y,z'
loop_
_atom_site_label
_atom_site_type_symbol
_atom_site_fract_x
_atom_site_fract_y
_atom_site_fract_z
Cl1 Cl 0.500 0.500 0.750
Li1 Li 0.000 0.000 0.977
Li2 Li 0.000 0.000 0.523
Se1 Se 0.500 0.500 0.250

## two
# PBE Li2SeCl, optimized geometry
# Calculated density (g cm⁻³): 3.0
# SG: I4/mmm
data_Li2SeCl
_chemical_formula_sum 'Li2 Se1 Cl1'
_space_group_name_H-M_alt 'P 1'
_space_group_IT_number 1
_cell_length_a 4.563
_cell_length_b 4.563
_cell_length_c 4.563
_cell_angle_alpha 113.76
_cell_angle_beta 113.76
_cell_angle_gamma 101.21
loop_
_space_group_symop_operation_xyz
'x,y,z'
loop_
_atom_site_label
_atom_site_type_symbol
_atom_site_fract_x
_atom_site_fract_y
_atom_site_fract_z
Cl1 Cl 0.750 0.250 0.500
Li1 Li 0.000 0.000 0.000
Li2 Li 0.500 0.500 0.000
Se1 Se 0.250 0.750 0.500

## three
# PBE Li2SeCl, optimized geometry
# Calculated density (g cm⁻³): 2.4
# SG: I-42d
data_Li2SeCl
_chemical_formula_sum 'Li4 Se2 Cl2'
_space_group_name_H-M_alt 'P 1'
_space_group_IT_number 1
_cell_length_a 6.248
_cell_length_b 6.248
_cell_length_c 6.346
_cell_angle_alpha 60.51
_cell_angle_beta 60.51
_cell_angle_gamma 90.00
loop_
_space_group_symop_operation_xyz
'x,y,z'
loop_
_atom_site_label
_atom_site_type_symbol
_atom_site_fract_x
_atom_site_fract_y
_atom_site_fract_z
Li1 Li 0.590 0.125 0.250
Li2 Li 0.160 0.625 0.250
Li3 Li 0.375 0.410 0.750
Li4 Li 0.875 0.840 0.750
Se1 Se 0.000 0.000 0.000
Se2 Se 0.750 0.250 0.500
Cl1 Cl 0.500 0.500 0.000
Cl2 Cl 0.250 0.750 0.500

Stability, descending: one, three, two

## one
# PBE Li2SeCl, optimized geometry
# Calculated density (g cm⁻³): 2.5
# SG: Cm
data_Li2SeCl
_chemical_formula_sum 'Li2 Se1 Cl1'
_space_group_name_H-M_alt 'P 1'
_space_group_IT_number 1
_cell_length_a 7.320
_cell_length_b 7.320
_cell_length_c 3.859
_cell_angle_alpha 89.48
_cell_angle_beta 89.48
_cell_angle_gamma 24.25
loop_
_space_group_symop_operation_xyz
'x,y,z'
loop_
_atom_site_label
_atom_site_type_symbol
_atom_site_fract_x
_atom_site_fract_y
_atom_site_fract_z
Cl1 Cl 0.227 0.227 0.121
Li1 Li 0.063 0.063 0.128
Li2 Li 0.707 0.707 0.621
Se1 Se 0.503 0.503 0.630

## two
# PBE Li2SeCl, optimized geometry
# Calculated density (g cm⁻³): 3.0
# SG: R-3m
data_Li2SeCl
_chemical_formula_sum 'Li2 Se1 Cl1'
_space_group_name_H-M_alt 'P 1'
_space_group_IT_number 1
_cell_length_a 7.105
_cell_length_b 7.105
_cell_length_c 7.105
_cell_angle_alpha 28.13
_cell_angle_beta 28.13
_cell_angle_gamma 28.13
loop_
_space_group_symop_operation_xyz
'x,y,z'
loop_
_atom_site_label
_atom_site_type_symbol
_atom_site_fract_x
_atom_site_fract_y
_atom_site_fract_z
Cl1 Cl 0.750 0.750 0.750
Li1 Li 0.010 0.010 0.010
Li2 Li 0.490 0.490 0.490
Se1 Se 0.250 0.250 0.250

## three
# PBE Li2SeCl, optimized geometry
# Calculated density (g cm⁻³): 1.9
# SG: Immm
data_Li2SeCl
_chemical_formula_sum 'Li2 Se1 Cl1'
_space_group_name_H-M_alt 'P 1'
_space_group_IT_number 1
_cell_length_a 6.245
_cell_length_b 6.245
_cell_length_c 6.245
_cell_angle_alpha 151.22
_cell_angle_beta 83.65
_cell_angle_gamma 103.54
loop_
_space_group_symop_operation_xyz
'x,y,z'
loop_
_atom_site_label
_atom_site_type_symbol
_atom_site_fract_x
_atom_site_fract_y
_atom_site_fract_z
Cl1 Cl 0.250 0.750 0.500
Li1 Li 0.026 0.026 0.000
Li2 Li 0.474 0.474 0.000
Se1 Se 0.750 0.250 0.500

Stability, descending: two, one, three

## one
# PBE Li2SeCl, optimized geometry
# Calculated density (g cm⁻³): 2.7
# SG: P2/m
data_Li2SeCl
_chemical_formula_sum 'Li2 Se1 Cl1'
_space_group_name_H-M_alt 'P 1'
_space_group_IT_number 1
_cell_length_a 3.118
_cell_length_b 3.566
_cell_length_c 6.982
_cell_angle_alpha 89.76
_cell_angle_beta 90.00
_cell_angle_gamma 90.00
loop_
_space_group_symop_operation_xyz
'x,y,z'
loop_
_atom_site_label
_atom_site_type_symbol
_atom_site_fract_x
_atom_site_fract_y
_atom_site_fract_z
Cl1 Cl 0.500 0.750 0.750
Li1 Li 0.000 0.761 0.999
Li2 Li 0.000 0.739 0.501
Se1 Se 0.500 0.250 0.250

## two
# PBE Li2SeCl, optimized geometry
# Calculated density (g cm⁻³): 3.0
# SG: P4/mmm
data_Li2SeCl
_chemical_formula_sum 'Li2 Se1 Cl1'
_space_group_name_H-M_alt 'P 1'
_space_group_IT_number 1
_cell_length_a 3.159
_cell_length_b 3.166
_cell_length_c 7.058
_cell_angle_alpha 90.00
_cell_angle_beta 90.00
_cell_angle_gamma 90.00
loop_
_space_group_symop_operation_xyz
'x,y,z'
loop_
_atom_site_label
_atom_site_type_symbol
_atom_site_fract_x
_atom_site_fract_y
_atom_site_fract_z
Cl1 Cl 0.500 0.500 0.750
Li1 Li 0.000 0.000 0.976
Li2 Li 0.000 0.000 0.524
Se1 Se 0.500 0.500 0.250

Stability, descending: one, two

## one
# PBE Li2SeCl, optimized geometry
# Calculated density (g cm⁻³): 2.9
# SG: Fm-3m
data_Li2SeCl
_chemical_formula_sum 'Li2 Se1 Cl1'
_space_group_name_H-M_alt 'P 1'
_space_group_IT_number 1
_cell_length_a 4.695
_cell_length_b 4.695
_cell_length_c 4.695
_cell_angle_alpha 60.00
_cell_angle_beta 60.00
_cell_angle_gamma 60.00
loop_
_space_group_symop_operation_xyz
'x,y,z'
loop_
_atom_site_label
_atom_site_type_symbol
_atom_site_fract_x
_atom_site_fract_y
_atom_site_fract_z
Li1 Li 0.250 0.250 0.250
Li2 Li 0.750 0.750 0.750
Se1 Se 0.500 0.500 0.500
Cl1 Cl 0.000 0.000 0.000

## two
# PBE Li2SeCl, optimized geometry
# Calculated density (g cm⁻³): 2.0
# SG: I-4m2
data_Li2SeCl
_chemical_formula_sum 'Li2 Se1 Cl1'
_space_group_name_H-M_alt 'P 1'
_space_group_IT_number 1
_cell_length_a 9.153
_cell_length_b 9.153
_cell_length_c 9.153
_cell_angle_alpha 157.99
_cell_angle_beta 157.99
_cell_angle_gamma 31.32
loop_
_space_group_symop_operation_xyz
'x,y,z'
loop_
_atom_site_label
_atom_site_type_symbol
_atom_site_fract_x
_atom_site_fract_y
_atom_site_fract_z
Cl1 Cl 0.750 0.250 0.500
Li1 Li 0.000 0.000 0.000
Li2 Li 0.250 0.750 0.500
Se1 Se 0.500 0.500 0.000

## three
# PBE Li2SeCl, optimized geometry
# Calculated density (g cm⁻³): 2.7
# SG: Pmm2
data_Li2SeCl
_chemical_formula_sum 'Li2 Se1 Cl1'
_space_group_name_H-M_alt 'P 1'
_space_group_IT_number 1
_cell_length_a 3.289
_cell_length_b 3.365
_cell_length_c 7.005
_cell_angle_alpha 90.00
_cell_angle_beta 90.00
_cell_angle_gamma 90.00
loop_
_space_group_symop_operation_xyz
'x,y,z'
loop_
_atom_site_label
_atom_site_type_symbol
_atom_site_fract_x
_atom_site_fract_y
_atom_site_fract_z
Cl1 Cl 0.500 0.500 0.938
Li1 Li 0.000 0.000 0.832
Li2 Li 0.500 0.500 0.273
Se1 Se 0.000 0.000 0.457

## four
# PBE Li2SeCl, optimized geometry
# Calculated density (g cm⁻³): 2.6
# SG: Pmmm
data_Li2SeCl
_chemical_formula_sum 'Li2 Se1 Cl1'
_space_group_name_H-M_alt 'P 1'
_space_group_IT_number 1
_cell_length_a 3.973
_cell_length_b 6.713
_cell_length_c 3.107
_cell_angle_alpha 90.00
_cell_angle_beta 90.00
_cell_angle_gamma 90.00
loop_
_space_group_symop_operation_xyz
'x,y,z'
loop_
_atom_site_label
_atom_site_type_symbol
_atom_site_fract_x
_atom_site_fract_y
_atom_site_fract_z
Cl1 Cl 0.000 0.500 0.500
Li1 Li 0.000 0.000 0.000
Li2 Li 0.500 0.500 0.000
Se1 Se 0.500 0.000 0.500

Stability, descending: three, four, two, one